An optimized crystal structure of AlAuC, computed with PBE.

Summary:
ΔH_f (0 K) = 0.0725 eV/atom
M_tot = 0.0 μB per cell
ρ = 9.5 g/cm3

Lattice parameters (Å, degrees): 10.1311 3.0900 3.0900 60.24 98.55 98.55
Fractional positions:
C (0.6436, 0.4494, 0.4828)
C (0.5099, 0.4037, 0.4371)
Au (0.9551, 0.2194, 0.2526)
Au (0.1985, 0.6337, 0.6672)
Al (0.4018, 0.0347, 0.0682)
Al (0.7517, 0.8184, 0.8517)

---

An optimized crystal structure of AlAuC, computed with PBE.

Summary:
ΔH_f (0 K) = 0.2684 eV/atom
M_tot = 0.0 μB per cell
ρ = 8.6 g/cm3

Lattice parameters (Å, degrees): 3.4452 5.1667 5.4419 90.00 90.00 70.53
Fractional positions:
C (0.8901, 0.1592, 0.7017)
C (0.5308, 0.8782, 0.2017)
Au (0.7119, 0.5159, 0.9567)
Au (0.7090, 0.5216, 0.4567)
Al (0.4445, 0.0506, 0.8578)
Al (0.9764, 0.9869, 0.3578)

---

An optimized crystal structure of AlAuC, computed with PBE.

Summary:
ΔH_f (0 K) = 0.2554 eV/atom
M_tot = 0.0 μB per cell
ρ = 8.7 g/cm3

Lattice parameters (Å, degrees): 3.4540 4.2548 6.1219 90.00 90.00 90.00
Fractional positions:
C (0.1271, 0.0187, 0.6400)
C (0.6271, 0.0187, 0.1400)
Au (0.6268, 0.5187, 0.0745)
Au (0.1274, 0.5187, 0.5745)
Al (0.6271, 0.0187, 0.8018)
Al (0.1271, 0.0187, 0.3018)

---

An optimized crystal structure of AlAuC2, computed with PBE.

Summary:
ΔH_f (0 K) = 1.2198 eV/atom
M_tot = 0.0 μB per cell
ρ = 7.6 g/cm3

Lattice parameters (Å, degrees): 4.8583 4.8583 5.7276 64.91 64.91 90.00
Fractional positions:
C (0.6085, 0.1250, 0.2500)
C (0.1415, 0.6250, 0.2500)
C (0.3750, 0.3915, 0.7500)
C (0.8750, 0.8585, 0.7500)
Au (0.0000, 0.0000, 0.0000)
Au (0.7500, 0.2500, 0.5000)
Al (0.5000, 0.5000, 0.0000)
Al (0.2500, 0.7500, 0.5000)